No. 1
# Na3LiTl

Na3LiTl after structural relaxation (PBE-GGA, Alexandria via LeMat-Bulk).

extended XYZ file:
```
5
Lattice="-2.4138 2.2381 0.0675 -0.1298 0.0385 -5.9218 -5.7627 -6.3072 3.0478" Properties=species:S:1:pos:R:3 pbc="T T T"
Na -2.4898 -0.2201 -1.4406
Na -2.5541 -0.2010 -4.3765
Na -3.3248 -3.4981 -2.9123
Li -5.0695 -5.4699 0.0755
Tl -6.4326 -4.4301 -2.8503
```

Output
* excess energy over the best structure of this formula in the dataset: 119 meV per atom
* density: 2.78 g cm⁻³

No. 2
# NaLiTl

NaLiTl after structural relaxation (PBE-GGA, Alexandria via LeMat-Bulk).

extended XYZ file:
```
3
Lattice="3.3280 0.0000 0.0000 0.0000 5.1234 0.0000 0.0000 -2.5617 4.4370" Properties=species:S:1:pos:R:3 pbc="T T T"
Na 0.0512 0.0000 0.0000
Tl 1.9402 2.5617 1.4790
Li 1.3365 0.0000 2.9580
```

Output
* excess energy over the best structure of this formula in the dataset: 32 meV per atom
* density: 5.14 g cm⁻³

No. 3
# Na4LiTl

Na4LiTl after structural relaxation (PBE-GGA, Alexandria via LeMat-Bulk).

extended XYZ file:
```
12
Lattice="6.9494 -0.8848 0.0000 -2.3151 5.7192 0.0000 -2.3171 -2.4172 9.5240" Properties=species:S:1:pos:R:3 pbc="T T T"
Na 0.5674 -1.3974 5.8034
Na -1.7737 4.3099 2.1869
Na -0.5901 1.4622 3.7205
Na -0.6162 1.4503 7.3371
Na 1.7497 3.8146 3.7205
Na 2.9073 0.9550 5.8034
Na 4.0908 -1.8927 7.3371
Na 2.9333 0.9669 2.1869
Li 5.2120 -0.6636 0.5171
Li -2.8949 3.0808 9.0069
Tl 0.5798 2.6384 0.6823
Tl 1.7373 -0.2212 8.8417
```

Output
* excess energy over the best structure of this formula in the dataset: 0 meV per atom
* density: 2.81 g cm⁻³

No. 4
# Na4LiTl

Na4LiTl after structural relaxation (PBE-GGA, Alexandria via LeMat-Bulk).

extended XYZ file:
```
12
Lattice="-6.0999 -1.2942 2.4319 -1.5062 -6.0719 1.2379 2.5580 -2.0580 9.4445" Properties=species:S:1:pos:R:3 pbc="T T T"
Na -2.5713 -4.6453 10.9291
Na -3.4414 -7.6236 11.5855
Na -4.6285 -7.9909 8.4373
Na -0.4195 -1.4333 4.6770
Na -1.2988 -4.4476 5.3409
Na -1.6066 -1.8006 1.5287
Na -3.7492 -4.9766 7.7734
Na -2.4767 -4.7788 2.1852
Li 0.2051 -2.6261 7.8456
Li -5.2531 -6.7980 5.2686
Tl -4.5002 -3.7621 4.6493
Tl -0.5478 -5.6620 8.4650
```

Output
* excess energy over the best structure of this formula in the dataset: 23 meV per atom
* density: 2.82 g cm⁻³

No. 5
# Na15LiTl4

Na15LiTl4 after structural relaxation (PBE-GGA, Alexandria via LeMat-Bulk).

extended XYZ file:
```
20
Lattice="-0.5772 -0.1456 4.8533 -1.4573 -4.6570 -0.3130 24.6278 -7.8875 2.6925" Properties=species:S:1:pos:R:3 pbc="T T T"
Na -1.0173 -2.4013 2.2702
Na 3.9473 -3.9913 2.8129
Na 8.8487 -5.5611 3.3488
Na 13.7447 -7.1291 3.8840
Na 18.6460 -8.6989 4.4199
Na 2.2354 -0.8812 2.7026
Na 7.1289 -2.4484 3.2376
Na 12.0253 -4.0166 3.7729
Na 16.9217 -5.5847 4.3082
Na 21.8152 -7.1520 4.8432
Na 1.7954 -3.1369 0.1194
Na 6.6889 -4.7041 0.6544
Na 11.5853 -6.2723 1.1897
Na 16.4816 -7.8404 1.7251
Na 21.3751 -9.4077 2.2600
Li 0.0000 0.0000 0.0000
Tl 4.9632 -1.5896 0.5426
Tl 9.8644 -3.1593 1.0785
Tl 14.7634 -4.7283 1.6141
Tl 19.6647 -6.2980 2.1499
```

Output
* density: 3.12 g cm⁻³
* electronic total energy: -32.0 eV per cell

No. 6
# Na2LiTl6

Na2LiTl6 after structural relaxation (PBE-GGA, Alexandria via LeMat-Bulk).

extended XYZ file:
```
9
Lattice="3.4011 0.0008 0.0026 0.0057 8.1335 4.6754 0.0041 0.0149 9.3815" Properties=species:S:1:pos:R:3 pbc="T T T"
Na 0.0034 2.7158 4.6850
Na 3.4075 5.4334 9.3744
Li 0.0000 0.0000 0.0000
Tl 1.6994 5.4511 3.1345
Tl 1.7126 8.1388 7.7711
Tl 1.7116 2.6981 10.9249
Tl 1.7057 5.4549 6.2296
Tl 1.6983 0.0104 6.2883
Tl 1.7052 2.6943 7.8299
```

Output
* density: 8.19 g cm⁻³
* electronic total energy: -19.2 eV per cell